Record 1
Crystalline PmZnInHg at its relaxed geometry. Source: the Alexandria database, functional PBE-GGA. Values from VASP.

Quantum ESPRESSO input file:
```
&SYSTEM
  ibrav = 0, nat = 4, ntyp = 4
/
ATOMIC_SPECIES
Zn 65.41 Zn.upf
Pm 145.00 Pm.upf
Hg 200.59 Hg.upf
In 114.82 In.upf
CELL_PARAMETERS angstrom
5.1070 0.0000 0.0000
2.5535 4.4228 0.0000
2.5535 1.4743 4.1699
ATOMIC_POSITIONS crystal
Zn 0.0000 0.0000 0.0000
Pm 0.2500 0.2500 0.2500
Hg 0.5000 0.5000 0.5000
In 0.7500 0.7500 0.7500
```

Values from the calculation:
- raw total energy (eV per cell) = -10.4
- ΔE_f (eV per atom) = -0.33

Record 2
Crystalline PmZrInHg at its relaxed geometry. Source: the Alexandria database, functional PBE-GGA. Values from VASP.

Quantum ESPRESSO input file:
```
&SYSTEM
  ibrav = 0, nat = 4, ntyp = 4
/
ATOMIC_SPECIES
Pm 145.00 Pm.upf
Zr 91.22 Zr.upf
Hg 200.59 Hg.upf
In 114.82 In.upf
CELL_PARAMETERS angstrom
-1.0201 -4.7012 -1.9986
-1.4632 -3.8990 3.1294
-4.9008 -1.7597 -0.1482
ATOMIC_POSITIONS crystal
Pm 0.0000 0.0000 0.0000
Zr 0.5000 0.5000 0.5000
Hg 0.7500 0.7500 0.7500
In 0.2500 0.2500 0.2500
```

Values from the calculation:
- raw total energy (eV per cell) = -17.4
- ΔE_f (eV per atom) = -0.27

Record 3
Crystalline Pr3InHg at its relaxed geometry. Source: the Alexandria database, functional PBE-GGA. Values from VASP.

Quantum ESPRESSO input file:
```
&SYSTEM
  ibrav = 0, nat = 20, ntyp = 3
/
ATOMIC_SPECIES
In 114.82 In.upf
Pr 140.91 Pr.upf
Hg 200.59 Hg.upf
CELL_PARAMETERS angstrom
6.8698 -0.0967 0.0594
3.2800 6.0370 0.0594
3.6421 2.1316 15.4917
ATOMIC_POSITIONS crystal
In 0.3825 0.6966 0.3381
In 0.6175 0.3034 0.6619
In 0.3034 0.6175 0.1619
In 0.6966 0.3825 0.8381
Pr 0.2450 0.1304 0.1842
Pr 0.8427 0.6384 0.1118
Pr 0.7550 0.8696 0.8158
Pr 0.7726 0.2540 0.4451
Pr 0.3616 0.1573 0.3882
Pr 0.2540 0.7726 0.9451
Pr 0.2274 0.7460 0.5549
Pr 0.1573 0.3616 0.8882
Pr 0.1304 0.2450 0.6842
Pr 0.7460 0.2274 0.0549
Pr 0.8696 0.7550 0.3158
Pr 0.6384 0.8427 0.6118
Hg 0.2776 0.7224 0.7500
Hg 0.5000 0.0000 0.0000
Hg 0.7224 0.2776 0.2500
Hg 0.0000 0.5000 0.5000
```

Values from the calculation:
- raw total energy (eV per cell) = -74.4
- ΔE_f (eV per atom) = -0.24
- distance to the lowest polymorph of the same formula (eV/f.u.) = 0.57

Record 4
Crystalline Pr3In2Hg at its relaxed geometry. Source: the Alexandria database, functional PBE-GGA. Values from VASP.

Quantum ESPRESSO input file:
```
&SYSTEM
  ibrav = 0, nat = 6, ntyp = 3
/
ATOMIC_SPECIES
Pr 140.91 Pr.upf
In 114.82 In.upf
Hg 200.59 Hg.upf
CELL_PARAMETERS angstrom
3.7454 0.0000 0.0000
0.0000 3.7454 0.0000
0.0000 0.0000 12.5678
ATOMIC_POSITIONS crystal
Pr 0.0000 0.0000 0.0000
Pr 0.0000 0.0000 0.3355
Pr 0.0000 0.0000 0.6645
In 0.5000 0.5000 0.1699
In 0.5000 0.5000 0.8301
Hg 0.5000 0.5000 0.5000
```

Values from the calculation:
- raw total energy (eV per cell) = -23.0
- ΔE_f (eV per atom) = -0.49

Record 5
Crystalline PrIn6Hg12 at its relaxed geometry. Source: the Alexandria database, functional PBE-GGA. Values from VASP.

Quantum ESPRESSO input file:
```
&SYSTEM
  ibrav = 0, nat = 19, ntyp = 3
/
ATOMIC_SPECIES
Hg 200.59 Hg.upf
In 114.82 In.upf
Pr 140.91 Pr.upf
CELL_PARAMETERS angstrom
-8.2002 -2.4038 -1.8814
5.4099 -6.8371 -0.7399
0.4060 3.3277 8.0822
ATOMIC_POSITIONS crystal
Hg 0.2657 0.8999 0.8342
Hg 0.4678 0.2007 0.3103
Hg 0.7993 0.6897 0.5322
Hg 0.6897 0.5322 0.7993
Hg 0.5322 0.7993 0.6897
Hg 0.2007 0.3103 0.4678
Hg 0.1001 0.1658 0.7343
Hg 0.7343 0.1001 0.1658
Hg 0.8342 0.2657 0.8999
Hg 0.1658 0.7343 0.1001
Hg 0.8999 0.8342 0.2657
Hg 0.3103 0.4678 0.2007
In 0.0766 0.5879 0.3783
In 0.4121 0.6217 0.9234
In 0.5879 0.3783 0.0766
In 0.9234 0.4121 0.6217
In 0.6217 0.9234 0.4121
In 0.3783 0.0766 0.5879
Pr 0.0000 0.0000 0.0000
```

Values from the calculation:
- raw total energy (eV per cell) = -26.2
- ΔE_f (eV per atom) = -0.07
- distance to the lowest polymorph of the same formula (eV/f.u.) = 0.00

Record 6
Crystalline Pr2InHg2 at its relaxed geometry. Source: the Alexandria database, functional PBE-GGA. Values from VASP.

Quantum ESPRESSO input file:
```
&SYSTEM
  ibrav = 0, nat = 10, ntyp = 3
/
ATOMIC_SPECIES
Hg 200.59 Hg.upf
In 114.82 In.upf
Pr 140.91 Pr.upf
CELL_PARAMETERS angstrom
4.3602 0.0000 0.0000
0.0000 8.0950 0.0000
0.0000 0.0000 8.0950
ATOMIC_POSITIONS crystal
Hg 0.0000 0.6300 0.1300
Hg 0.0000 0.8700 0.6300
Hg 0.0000 0.1300 0.3700
Hg 0.0000 0.3700 0.8700
In 0.0000 0.5000 0.5000
In 0.0000 0.0000 0.0000
Pr 0.5000 0.8288 0.3288
Pr 0.5000 0.3288 0.1712
Pr 0.5000 0.6712 0.8288
Pr 0.5000 0.1712 0.6712
```

Values from the calculation:
- raw total energy (eV per cell) = -30.3
- ΔE_f (eV per atom) = -0.45

Record 7
Crystalline Pr6InHg2 at its relaxed geometry. Source: the Alexandria database, functional PBE-GGA. Values from VASP.

Quantum ESPRESSO input file:
```
&SYSTEM
  ibrav = 0, nat = 18, ntyp = 3
/
ATOMIC_SPECIES
Pr 140.91 Pr.upf
Hg 200.59 Hg.upf
In 114.82 In.upf
CELL_PARAMETERS angstrom
-8.4039 0.8210 -3.4763
4.1543 -7.2960 -3.5910
-0.3875 -1.1370 9.0522
ATOMIC_POSITIONS crystal
Pr 0.0896 0.2706 0.8190
Pr 0.2746 0.9504 0.6757
Pr 0.7254 0.0496 0.3243
Pr 0.5485 0.7294 0.8190
Pr 0.8009 0.2502 0.0511
Pr 0.8009 0.7498 0.5508
Pr 0.7254 0.4011 0.6757
Pr 0.1991 0.2502 0.4492
Pr 0.1991 0.7498 0.9489
Pr 0.2746 0.5989 0.3243
Pr 0.9104 0.7294 0.1810
Pr 0.4515 0.2706 0.1810
Hg 0.5000 0.3637 0.8637
Hg 0.6463 0.0000 0.6463
Hg 0.3537 0.0000 0.3537
Hg 0.5000 0.6363 0.1363
In 0.0000 0.5000 0.5000
In 0.0000 0.0000 0.0000
```

Values from the calculation:
- raw total energy (eV per cell) = -68.9
- ΔE_f (eV per atom) = -0.27
- distance to the lowest polymorph of the same formula (eV/f.u.) = 0.24

Record 8
Crystalline Pr8In2Hg at its relaxed geometry. Source: the Alexandria database, functional PBE-GGA. Values from VASP.

Quantum ESPRESSO input file:
```
&SYSTEM
  ibrav = 0, nat = 11, ntyp = 3
/
ATOMIC_SPECIES
Hg 200.59 Hg.upf
Pr 140.91 Pr.upf
In 114.82 In.upf
CELL_PARAMETERS angstrom
5.2844 -0.0005 -1.6058
-0.9196 6.8094 -3.0284
0.0841 0.2243 9.7878
ATOMIC_POSITIONS crystal
Hg 0.5000 0.0000 0.0000
Pr 0.3613 0.1300 0.7222
Pr 0.0000 0.2631 0.0000
Pr 0.3613 0.5922 0.7222
Pr 0.1934 0.1933 0.3865
Pr 0.6387 0.8700 0.2778
Pr 0.0000 0.7369 0.0000
Pr 0.8066 0.8067 0.6135
Pr 0.6387 0.4078 0.2778
In 0.1866 0.6867 0.3735
In 0.8134 0.3133 0.6265
```

Values from the calculation:
- raw total energy (eV per cell) = -46.2
- ΔE_f (eV per atom) = -0.20
- distance to the lowest polymorph of the same formula (eV/f.u.) = 0.33